Record 1
VASP calculation (PBE-GGA) on a relaxed Ce2DyY crystal.

Results
Formation enthalpy at 0 K in eV per atom: 0.09
Final energy in eV per atom: -5.640

Unit cell a=3.4941 b=3.4941 c=34.5920 alpha=90.00 beta=90.00 gamma=120.00
Space group R-3m (No. 166, hexagonal axes)
Symmetry-distinct sites (fractional):
Ce: 0.0000 0.0000 0.2505 (multiplicity 6)
Dy: 0.0000 0.0000 0.0000 (multiplicity 3)
Y: 0.0000 0.0000 0.5000 (multiplicity 3)

Record 2
VASP calculation (PBE-GGA) on a relaxed BeIn2Mo2 crystal.

Results
Formation enthalpy at 0 K in eV per atom: 0.98
Final energy in eV per atom: -5.197

Unit cell a=3.8415 b=3.8415 c=13.4478 alpha=90.00 beta=90.00 gamma=90.00
Space group I4/mmm (No. 139)
Symmetry-distinct sites (fractional):
Be: 0.0000 0.0000 0.0000 (multiplicity 2)
In: 0.0000 0.5000 0.2500 (multiplicity 4)
Mo: 0.0000 0.0000 0.4169 (multiplicity 4)

Record 3
VASP calculation (PBE-GGA) on a relaxed LaUIO4 crystal.

Results
Formation energy (no corrections) in eV/atom: -2.77
Final energy in eV per atom: -8.139

Unit cell a=11.9471 b=7.1615 c=6.7982 alpha=90.00 beta=93.81 gamma=90.00
Space group C2/m (No. 12)
Symmetry-distinct sites (fractional):
La: 0.2461 0.0000 0.1155 (multiplicity 4)
U: 0.1184 0.5000 0.3541 (multiplicity 4)
I: 0.0242 0.0000 0.7512 (multiplicity 4)
O: 0.0528 0.5000 0.6821 (multiplicity 4)
O: 0.1760 0.3163 0.1484 (multiplicity 8)
O: 0.2459 0.0000 0.4800 (multiplicity 4)

Record 4
VASP calculation (PBE-GGA) on a relaxed TbZr2Re crystal.

Results
Formation enthalpy at 0 K in eV per atom: -0.03
Final energy in eV per atom: -8.569

Unit cell a=3.3415 b=3.3415 c=8.1680 alpha=90.00 beta=90.00 gamma=90.00
Space group P4/mmm (No. 123)
Symmetry-distinct sites (fractional):
Tb: 0.0000 0.0000 0.0000 (multiplicity 1)
Zr: 0.5000 0.5000 0.3079 (multiplicity 2)
Re: 0.0000 0.0000 0.5000 (multiplicity 1)

Record 5
VASP calculation (PBE-GGA) on a relaxed NaPrSn2S4 crystal.

Results
Formation energy (no corrections) in eV/atom: -1.04
Final energy in eV per atom: -4.871

Unit cell a=7.0536 b=4.1409 c=7.2531 alpha=90.00 beta=108.60 gamma=90.00
Space group P2/m (No. 10)
Symmetry-distinct sites (fractional):
Na: 0.0000 0.0000 0.0000 (multiplicity 1)
Pr: 0.5000 0.5000 0.0000 (multiplicity 1)
Sn: 0.0000 0.5000 0.5000 (multiplicity 1)
Sn: 0.5000 0.0000 0.5000 (multiplicity 1)
S: 0.2579 0.0000 0.7583 (multiplicity 2)
S: 0.2579 0.5000 0.2487 (multiplicity 2)

Record 6
VASP calculation (PBE-GGA) on a relaxed NpTiN crystal.

Results
Formation energy (no corrections) in eV/atom: 0.43
Final energy in eV per atom: -9.294

Unit cell a=3.8829 b=3.8829 c=7.0445 alpha=90.00 beta=90.00 gamma=90.00
Space group I4mm (No. 107)
Symmetry-distinct sites (fractional):
Np: 0.0000 0.0000 0.0000 (multiplicity 2)
Ti: 0.0000 0.0000 0.5726 (multiplicity 2)
N: 0.0000 0.0000 0.3064 (multiplicity 2)

Record 7
VASP calculation (PBE-GGA) on a relaxed Nb2NiSn crystal.

Results
Formation enthalpy at 0 K in eV per atom: -0.15
Final energy in eV per atom: -7.630

Unit cell a=3.9345 b=3.9345 c=4.4106 alpha=90.00 beta=90.00 gamma=90.00
Space group P4/mmm (No. 123)
Symmetry-distinct sites (fractional):
Nb: 0.0000 0.5000 0.0000 (multiplicity 2)
Ni: 0.0000 0.0000 0.5000 (multiplicity 1)
Sn: 0.5000 0.5000 0.5000 (multiplicity 1)

Record 8
VASP calculation (PBE-GGA) on a relaxed LaCeTe2N crystal.

Results
Formation energy (no corrections) in eV/atom: -1.43
Final energy in eV per atom: -6.521

Unit cell a=4.2338 b=4.2338 c=16.4835 alpha=90.00 beta=90.00 gamma=90.00
Space group P4/nmm (No. 129, origin choice 2)
Symmetry-distinct sites (fractional):
La: 0.2500 0.2500 0.1418 (multiplicity 2)
Ce: 0.2500 0.2500 0.5616 (multiplicity 2)
Te: 0.2500 0.2500 0.3247 (multiplicity 2)
Te: 0.2500 0.2500 0.9209 (multiplicity 2)
N: 0.2500 0.7500 0.5000 (multiplicity 2)

Record 9
VASP calculation (PBE-GGA) on a relaxed TmSc6Al3 crystal.

Results
Formation enthalpy at 0 K in eV per atom: -0.14
Final energy in eV per atom: -5.505

Unit cell a=11.4397 b=11.5730 c=6.9802 alpha=90.00 beta=90.00 gamma=90.00
Space group Cmc2_1 (No. 36)
Symmetry-distinct sites (fractional):
Tm: 0.0000 0.2186 0.0000 (multiplicity 4)
Sc: 0.0000 0.2049 0.4696 (multiplicity 4)
Sc: 0.0000 0.4801 0.5853 (multiplicity 4)
Sc: 0.2051 0.0296 0.5024 (multiplicity 8)
Sc: 0.2070 0.3009 0.6918 (multiplicity 8)
Al: 0.0000 0.0069 0.7389 (multiplicity 4)
Al: 0.1438 0.3783 0.3051 (multiplicity 8)

Record 10
VASP calculation (PBE-GGA) on a relaxed Pm8TlPt2 crystal.

Results
Formation enthalpy at 0 K in eV per atom: -0.43
Final energy in eV per atom: -5.203

Unit cell a=8.8516 b=13.8676 c=5.6799 alpha=90.00 beta=105.08 gamma=90.00
Space group C2/m (No. 12)
Symmetry-distinct sites (fractional):
Pm: 0.0000 0.2456 0.0000 (multiplicity 4)
Pm: 0.1058 0.5000 0.8070 (multiplicity 4)
Pm: 0.2048 0.1244 0.5705 (multiplicity 8)
Tl: 0.0000 0.0000 0.0000 (multiplicity 2)
Pt: 0.0000 0.3013 0.5000 (multiplicity 4)

Record 11
VASP calculation (PBE-GGA) on a relaxed LiYNi2 crystal.

Results
Formation enthalpy at 0 K in eV per atom: 0.06
Final energy in eV per atom: -4.929

Unit cell a=6.9082 b=6.9082 c=5.3601 alpha=90.00 beta=90.00 gamma=90.00
Space group I-42d (No. 122)
Symmetry-distinct sites (fractional):
Li: 0.0000 0.0000 0.0000 (multiplicity 4)
Y: 0.0000 0.0000 0.5000 (multiplicity 4)
Ni: 0.2174 0.2500 0.1250 (multiplicity 8)

Record 12
VASP calculation (PBE-GGA) on a relaxed InPPt2 crystal.

Results
Formation enthalpy at 0 K in eV per atom: -0.35
Final energy in eV per atom: -5.405

Unit cell a=4.2963 b=4.2687 c=4.5170 alpha=90.00 beta=96.07 gamma=90.00
Space group Pm (No. 6)
Symmetry-distinct sites (fractional):
In: 0.0000 0.0000 0.0000 (multiplicity 1)
P: 0.5147 0.5000 0.6157 (multiplicity 1)
Pt: 0.4006 0.5000 0.0968 (multiplicity 1)
Pt: 0.6272 0.0000 0.4667 (multiplicity 1)

Record 13
VASP calculation (PBE-GGA) on a relaxed Be9Nb2Re crystal.

Results
Formation enthalpy at 0 K in eV per atom: -0.21
Final energy in eV per atom: -5.721

Unit cell a=4.4802 b=4.4802 c=20.9194 alpha=90.00 beta=90.00 gamma=120.00
Space group R-3m (No. 166, hexagonal axes)
Symmetry-distinct sites (fractional):
Be: 0.0000 0.0000 0.0000 (multiplicity 3)
Be: 0.0000 0.0000 0.1657 (multiplicity 6)
Be: 0.0029 0.5015 0.4204 (multiplicity 18)
Nb: 0.0000 0.0000 0.3588 (multiplicity 6)
Re: 0.0000 0.0000 0.5000 (multiplicity 3)

Record 14
VASP calculation (PBE-GGA) on a relaxed La3Tb12Th crystal.

Results
Formation enthalpy at 0 K in eV per atom: 0.03
Final energy in eV per atom: -4.833

Unit cell a=5.0898 b=5.0898 c=20.3464 alpha=90.00 beta=90.00 gamma=90.00
Space group P4/mmm (No. 123)
Symmetry-distinct sites (fractional):
La: 0.0000 0.0000 0.0000 (multiplicity 1)
La: 0.0000 0.0000 0.2511 (multiplicity 2)
Tb: 0.0000 0.5000 0.1262 (multiplicity 4)
Tb: 0.0000 0.5000 0.3793 (multiplicity 4)
Tb: 0.5000 0.5000 0.0000 (multiplicity 1)
Tb: 0.5000 0.5000 0.2518 (multiplicity 2)
Tb: 0.5000 0.5000 0.5000 (multiplicity 1)
Th: 0.0000 0.0000 0.5000 (multiplicity 1)

Record 15
VASP calculation (PBE-GGA) on a relaxed In2AuBr crystal.

Results
Formation energy (no corrections) in eV/atom: -0.22
Final energy in eV per atom: -2.828

Unit cell a=7.6407 b=7.6997 c=3.5269 alpha=90.00 beta=91.44 gamma=90.00
Space group C2/m (No. 12)
Symmetry-distinct sites (fractional):
In: 0.2500 0.2500 0.0000 (multiplicity 4)
Au: 0.0000 0.0000 0.5000 (multiplicity 2)
Br: 0.0000 0.5000 0.5000 (multiplicity 2)

Record 16
VASP calculation (PBE-GGA) on a relaxed Sm2HoAl9 crystal.

Results
Formation enthalpy at 0 K in eV per atom: -0.35
Final energy in eV per atom: -4.330

Unit cell a=5.6147 b=5.6147 c=26.3810 alpha=90.00 beta=90.00 gamma=120.00
Space group R-3m (No. 166, hexagonal axes)
Symmetry-distinct sites (fractional):
Sm: 0.0000 0.0000 0.1419 (multiplicity 6)
Ho: 0.0000 0.0000 0.0000 (multiplicity 3)
Al: 0.0000 0.0000 0.3353 (multiplicity 6)
Al: 0.0000 0.0000 0.5000 (multiplicity 3)
Al: 0.0074 0.5037 0.9173 (multiplicity 18)

Record 17
VASP calculation (PBE-GGA) on a relaxed ZrMnRu crystal.

Results
Formation enthalpy at 0 K in eV per atom: 0.61
Final energy in eV per atom: -8.384

Unit cell a=6.1473 b=6.1473 c=6.1473 alpha=90.00 beta=90.00 gamma=90.00
Space group F-43m (No. 216)
Symmetry-distinct sites (fractional):
Zr: 0.0000 0.0000 0.0000 (multiplicity 4)
Mn: 0.2500 0.2500 0.7500 (multiplicity 4)
Ru: 0.2500 0.2500 0.2500 (multiplicity 4)

Record 18
VASP calculation (PBE-GGA) on a relaxed Zn5Pb crystal.

Results
Formation enthalpy at 0 K in eV per atom: 0.14
Final energy in eV per atom: -1.536

Unit cell a=7.6392 b=7.6392 c=7.6392 alpha=90.00 beta=90.00 gamma=90.00
Space group F-43m (No. 216)
Symmetry-distinct sites (fractional):
Zn: 0.0000 0.0000 0.0000 (multiplicity 4)
Zn: 0.1258 0.1258 0.3742 (multiplicity 16)
Pb: 0.2500 0.2500 0.7500 (multiplicity 4)

Record 19
VASP calculation (PBE-GGA) on a relaxed SrMnTl3 crystal.

Results
Formation enthalpy at 0 K in eV per atom: 0.05
Final energy in eV per atom: -3.535

Unit cell a=5.2482 b=5.2482 c=5.2482 alpha=90.00 beta=90.00 gamma=90.00
Space group Pm-3m (No. 221)
Symmetry-distinct sites (fractional):
Sr: 0.0000 0.0000 0.0000 (multiplicity 1)
Mn: 0.5000 0.5000 0.5000 (multiplicity 1)
Tl: 0.0000 0.5000 0.5000 (multiplicity 3)

Record 20
VASP calculation (PBE-GGA) on a relaxed Re2Sb crystal.

Results
Formation energy (no corrections) in eV/atom: 0.20
Final energy in eV per atom: -9.471

Unit cell a=2.9579 b=19.1615 c=4.3711 alpha=90.00 beta=90.00 gamma=90.00
Space group Cmcm (No. 63)
Symmetry-distinct sites (fractional):
Re: 0.0000 0.0398 0.2500 (multiplicity 4)
Re: 0.0000 0.4233 0.2500 (multiplicity 4)
Sb: 0.0000 0.3299 0.7500 (multiplicity 4)

Record 21
VASP calculation (PBE-GGA) on a relaxed CuOsW2 crystal.

Results
Formation enthalpy at 0 K in eV per atom: 0.27
Final energy in eV per atom: -10.034

Unit cell a=2.8519 b=3.7583 c=5.5453 alpha=90.00 beta=90.00 gamma=90.00
Space group Pmm2 (No. 25)
Symmetry-distinct sites (fractional):
Cu: 0.0000 0.0000 0.0000 (multiplicity 1)
Os: 0.5000 0.5000 0.2450 (multiplicity 1)
W: 0.0000 0.0000 0.4861 (multiplicity 1)
W: 0.5000 0.5000 0.7672 (multiplicity 1)

Record 22
VASP calculation (PBE-GGA) on a relaxed NaMgN crystal.

Results
Formation energy (no corrections) in eV/atom: -0.21
Final energy in eV per atom: -3.955

Unit cell a=3.5539 b=3.5539 c=8.8590 alpha=90.00 beta=90.00 gamma=120.00
Space group P6_3mc (No. 186)
Symmetry-distinct sites (fractional):
Na: 0.3333 0.6667 0.0000 (multiplicity 2)
Mg: 0.0000 0.0000 0.2742 (multiplicity 2)
N: 0.3333 0.6667 0.3045 (multiplicity 2)

Record 23
VASP calculation (PBE-GGA) on a relaxed Mg5Mn crystal.

Results
Formation enthalpy at 0 K in eV per atom: 0.12
Final energy in eV per atom: -2.733

Unit cell a=5.0473 b=3.1119 c=16.0592 alpha=90.00 beta=90.00 gamma=90.00
Space group Amm2 (No. 38)
Symmetry-distinct sites (fractional):
Mg: 0.0000 0.0000 0.0000 (multiplicity 2)
Mg: 0.0000 0.0000 0.3188 (multiplicity 2)
Mg: 0.5000 0.0000 0.1085 (multiplicity 2)
Mg: 0.5000 0.0000 0.4371 (multiplicity 2)
Mg: 0.5000 0.0000 0.7679 (multiplicity 2)
Mn: 0.0000 0.0000 0.6590 (multiplicity 2)

Record 24
VASP calculation (PBE-GGA) on a relaxed YTlGe crystal.

Results
Formation enthalpy at 0 K in eV per atom: -0.25
Final energy in eV per atom: -4.728

Unit cell a=4.4209 b=4.4209 c=28.7576 alpha=90.00 beta=90.00 gamma=120.00
Space group R-3m (No. 166, hexagonal axes)
Symmetry-distinct sites (fractional):
Y: 0.0000 0.0000 0.0824 (multiplicity 6)
Tl: 0.0000 0.0000 0.3567 (multiplicity 6)
Ge: 0.0000 0.0000 0.1858 (multiplicity 6)

Record 25
VASP calculation (PBE-GGA) on a relaxed MnTlCd2 crystal.

Results
Formation enthalpy at 0 K in eV per atom: 0.33
Final energy in eV per atom: -3.011

Unit cell a=7.0895 b=7.0895 c=7.0895 alpha=90.00 beta=90.00 gamma=90.00
Space group F-43m (No. 216)
Symmetry-distinct sites (fractional):
Mn: 0.0000 0.0000 0.0000 (multiplicity 4)
Tl: 0.2500 0.2500 0.2500 (multiplicity 4)
Cd: 0.0000 0.0000 0.5000 (multiplicity 4)
Cd: 0.2500 0.2500 0.7500 (multiplicity 4)

Computed calculated volume, in the same sequence as the records: 365.7 198.4 580.4 91.2 200.8 106.2 68.3 295.5 924.1 673.2 255.8 82.4 363.6 527.1 207.4 720.2 232.3 445.8 144.6 247.7 59.4 96.9 252.2 486.8 356.3 Å³ per cell.